PBE K4Fe, optimized geometry; Fermi-level density of states = 2.73 states/eV/atom; ΔH_f (0 K) = 674 meV/atom
1.0
6.729 0.000 0.000
0.000 6.729 0.000
0.000 0.000 6.729
K Fe
4 1
Direct
0.000 0.500 0.500
0.500 0.500 0.000
0.500 0.000 0.500
0.000 0.000 0.000
0.500 0.500 0.500

---

PBE Ce5In2Ru2, optimized geometry; Fermi-level density of states = 2.35 states/eV/atom; ΔH_f (0 K) = -208 meV/atom
1.0
-5.899 5.846 2.796
-0.026 -2.890 5.987
8.962 3.431 -1.996
Ru In Ce
4 4 10
Direct
0.234 0.523 0.500
0.766 0.023 0.500
0.000 0.867 0.000
0.500 0.367 0.000
0.450 0.874 0.802
0.852 0.374 0.802
0.148 0.572 0.198
0.550 0.072 0.198
0.826 0.205 0.080
0.260 0.102 0.318
0.442 0.284 0.682
0.962 0.285 0.500
0.246 0.625 0.920
0.754 0.705 0.080
0.558 0.602 0.318
0.174 0.125 0.920
0.740 0.784 0.682
0.038 0.785 0.500

---

PBE Te2RhBr, optimized geometry; formation energy without anion corrections = -0.16 eV per atom; Fermi-level density of states = 0.00 states/eV/atom
1.0
7.180 0.000 2.468
1.615 7.553 -1.759
-1.615 7.553 1.759
Te Br Rh
4 2 2
Direct
0.619 0.901 0.777
0.881 0.277 0.401
0.119 0.723 0.599
0.381 0.099 0.223
0.250 0.649 0.149
0.750 0.351 0.851
0.250 0.047 0.547
0.750 0.953 0.453

---

PBE ZrPbSe2Br, optimized geometry; formation energy without anion corrections = -0.67 eV per atom; energy relative to the lowest polymorph listed for this composition = 0 meV per atom; Fermi-level density of states = 0.68 states/eV/atom
1.0
5.271 0.000 0.000
0.000 5.271 0.000
0.000 0.000 5.277
Pb Zr Br Se
1 1 1 2
Direct
0.500 0.500 0.500
0.000 0.000 0.000
0.000 0.000 0.500
0.500 0.000 0.000
0.000 0.500 0.000

---

PBE Zr2GaSi3Ir4, optimized geometry; formation energy without anion corrections = -0.84 eV per atom; Fermi-level density of states = 0.66 states/eV/atom
1.0
-1.523 -3.366 -1.652
3.741 -1.242 -0.918
0.630 -4.606 8.802
Si Ir Zr Ga
3 4 2 1
Direct
0.000 0.500 0.132
0.500 0.000 0.868
0.000 0.000 0.500
0.000 0.000 0.000
0.000 0.500 0.362
0.500 0.000 0.638
0.500 0.500 0.000
0.000 0.500 0.754
0.500 0.000 0.246
0.500 0.500 0.500

---

PBE Bi5Pt3Au, optimized geometry; Fermi-level density of states = 0.44 states/eV/atom; ΔH_f (0 K) = -26 meV/atom
1.0
-7.680 -0.407 -1.894
-1.789 -7.194 -2.792
-4.842 -5.065 6.522
Au Bi Pt
2 10 6
Direct
0.109 0.109 0.686
0.891 0.891 0.314
0.302 0.698 0.000
0.785 0.785 0.018
0.021 0.618 0.602
0.698 0.302 0.000
0.979 0.382 0.398
0.459 0.459 0.338
0.382 0.979 0.398
0.618 0.021 0.602
0.541 0.541 0.662
0.215 0.215 0.982
0.679 0.679 0.827
0.321 0.321 0.173
0.000 0.000 0.000
0.671 0.671 0.329
0.329 0.329 0.671
0.000 0.000 0.500

---

PBE LiLa2Br, optimized geometry; formation energy without anion corrections = -0.48 eV per atom; energy relative to the lowest polymorph listed for this composition = 74 meV per atom; Fermi-level density of states = 1.33 states/eV/atom
1.0
10.452 0.008 0.005
9.776 3.697 0.005
9.776 1.791 3.235
La Br Li
2 1 1
Direct
0.496 0.496 0.496
0.004 0.004 0.004
0.750 0.750 0.750
0.250 0.250 0.250

---

PBE Dy3ScPb5, optimized geometry; Fermi-level density of states = 0.84 states/eV/atom; ΔH_f (0 K) = -410 meV/atom
1.0
6.420 0.000 0.000
0.000 9.454 0.000
0.000 -4.727 8.187
Pb Sc Dy
10 2 6
Direct
0.750 0.723 0.000
0.750 0.277 0.277
0.250 0.000 0.277
0.750 0.000 0.723
0.250 0.723 0.723
0.250 0.277 0.000
0.500 0.333 0.667
0.000 0.667 0.333
0.000 0.333 0.667
0.500 0.667 0.333
0.000 0.000 0.000
0.500 0.000 0.000
0.250 0.000 0.616
0.750 0.384 0.000
0.250 0.616 0.000
0.750 0.000 0.384
0.750 0.616 0.616
0.250 0.384 0.384

---

PBE Ba2AlBr, optimized geometry; formation energy without anion corrections = -0.54 eV per atom; energy relative to the lowest polymorph listed for this composition = 318 meV per atom; Fermi-level density of states = 1.04 states/eV/atom
1.0
7.853 -0.005 0.000
4.940 6.105 0.000
-6.396 -3.050 3.384
Ba Br Al
2 1 1
Direct
0.000 0.000 0.000
0.250 0.750 0.500
0.500 0.500 0.000
0.750 0.250 0.500

---

PBE ZrNiAu, optimized geometry; energy relative to the lowest polymorph listed for this composition = 254 meV per atom; Fermi-level density of states = 1.20 states/eV/atom; ΔH_f (0 K) = -250 meV/atom
1.0
-0.329 0.933 4.192
3.442 -0.364 2.564
1.896 3.533 1.575
Zr Ni Au
1 1 1
Direct
0.000 0.000 0.000
0.750 0.750 0.750
0.500 0.500 0.500

---

PBE TbTlSn, optimized geometry; energy relative to the lowest polymorph listed for this composition = 224 meV per atom; Fermi-level density of states = 0.37 states/eV/atom; ΔH_f (0 K) = -216 meV/atom
1.0
-0.721 0.757 -4.718
-4.449 -0.250 -1.836
-2.857 8.898 -0.611
Sn Tb Tl
2 2 2
Direct
0.147 0.146 0.560
0.853 0.854 0.440
0.427 0.426 0.720
0.573 0.574 0.280
0.695 0.694 0.915
0.305 0.306 0.085

---

PBE LiSm3, optimized geometry; energy relative to the lowest polymorph listed for this composition = 0 meV per atom; Fermi-level density of states = 1.32 states/eV/atom; ΔH_f (0 K) = 78 meV/atom
1.0
-0.878 3.665 -0.601
-4.339 -1.561 -3.182
-0.747 -1.101 6.491
Sm Li
3 1
Direct
0.500 0.417 0.000
0.275 0.691 0.549
0.725 0.142 0.451
0.000 0.917 0.000

---

PBE Na2MgMn, optimized geometry; Fermi-level density of states = 0.93 states/eV/atom; ΔH_f (0 K) = 643 meV/atom
1.0
8.602 0.000 0.000
0.000 8.602 0.000
4.301 4.301 2.946
Na Mn Mg
4 2 2
Direct
0.114 0.625 0.250
0.375 0.364 0.750
0.875 0.886 0.750
0.636 0.125 0.250
0.750 0.250 0.500
0.000 0.000 0.000
0.250 0.750 0.500
0.500 0.500 0.000

---

PBE RbNaZr3, optimized geometry; energy relative to the lowest polymorph listed for this composition = 0 meV per atom; Fermi-level density of states = 1.68 states/eV/atom; ΔH_f (0 K) = 1681 meV/atom
1.0
5.357 0.000 0.000
0.000 5.357 0.000
0.000 0.000 5.357
Zr Rb Na
3 1 1
Direct
0.500 0.000 0.000
0.000 0.000 0.500
0.000 0.500 0.000
0.500 0.500 0.500
0.000 0.000 0.000

---

PBE CePuCd2, optimized geometry; energy relative to the lowest polymorph listed for this composition = 10 meV per atom; Fermi-level density of states = 2.49 states/eV/atom; ΔH_f (0 K) = -99 meV/atom
1.0
-2.978 -1.198 0.131
0.522 -1.807 -4.642
2.236 -5.305 2.316
Pu Cd Ce
1 2 1
Direct
0.000 0.500 0.000
0.500 0.000 0.248
0.500 0.000 0.752
0.000 0.500 0.500

---

PBE Pm2Sm2Dy4Th, optimized geometry; Fermi-level density of states = 1.40 states/eV/atom; ΔH_f (0 K) = 3 meV/atom
1.0
-0.651 3.565 0.051
-2.695 -2.206 -8.930
-6.695 -1.321 6.773
Dy Pm Sm Th
4 2 2 1
Direct
0.816 0.633 0.665
0.482 0.963 0.673
0.518 0.037 0.327
0.184 0.367 0.335
0.336 0.673 0.995
0.664 0.327 0.005
0.853 0.706 0.336
0.147 0.294 0.664
0.000 0.000 0.000

---

PBE WSe3I, optimized geometry; formation energy without anion corrections = -0.23 eV per atom; energy relative to the lowest polymorph listed for this composition = 0 meV per atom; Fermi-level density of states = 0.10 states/eV/atom
1.0
-0.700 4.247 3.747
-0.787 -3.922 11.075
10.193 3.425 4.798
Se W I
12 4 4
Direct
0.060 0.724 0.092
0.560 0.092 0.724
0.892 0.058 0.169
0.392 0.169 0.058
0.108 0.942 0.831
0.608 0.831 0.942
0.440 0.908 0.276
0.997 0.739 0.342
0.497 0.342 0.739
0.503 0.658 0.261
0.003 0.261 0.658
0.940 0.276 0.908
0.750 0.142 0.858
0.750 0.955 0.045
0.250 0.045 0.955
0.250 0.858 0.142
0.902 0.811 0.559
0.402 0.559 0.811
0.098 0.189 0.441
0.598 0.441 0.189

---

PBE CaGdCdGe, optimized geometry; Fermi-level density of states = 1.04 states/eV/atom; ΔH_f (0 K) = -469 meV/atom
1.0
5.228 0.000 0.000
2.614 4.528 0.000
2.614 1.509 4.269
Ge Cd Ca Gd
1 1 1 1
Direct
0.000 0.000 0.000
0.500 0.500 0.500
0.250 0.250 0.250
0.750 0.750 0.750

---

PBE CsNbI4, optimized geometry; formation energy without anion corrections = -0.76 eV per atom
1.0
-5.809 -3.438 3.093
5.019 -3.888 5.106
-1.878 9.136 2.303
Nb I Cs
2 8 2
Direct
0.679 0.476 0.951
0.321 0.524 0.049
0.239 0.688 0.376
0.000 0.272 0.000
0.000 0.728 0.000
0.391 0.180 0.800
0.609 0.820 0.200
0.609 0.379 0.200
0.391 0.621 0.800
0.761 0.312 0.624
0.216 0.194 0.389
0.784 0.806 0.611

---

PBE KSr2Sb, optimized geometry; formation energy without anion corrections = -0.52 eV per atom; Fermi-level density of states = 0.60 states/eV/atom
1.0
4.869 -0.003 0.013
2.443 4.212 0.013
2.315 1.333 11.075
K Sr Sb
1 2 1
Direct
0.250 0.250 0.250
0.466 0.466 0.598
0.034 0.034 0.902
0.750 0.750 0.750